# 1
Entry from the Alexandria database: a geometry-optimized TbDy9Ho2 structure (PBE-GGA).

Structure (POSCAR):
```
TbDy9Ho2
1.0
3.4789 0.0000 0.0000
0.0000 11.1674 0.0000
0.0000 -5.5837 9.6712
Ho Dy Tb
2 9 1
Direct
0.0000 0.3333 0.6667 Ho
0.0000 0.6667 0.3333 Ho
0.5000 0.6473 0.8236 Dy
0.5000 0.8236 0.1764 Dy
0.5000 0.1764 0.8236 Dy
0.5000 0.1764 0.3527 Dy
0.0000 0.5000 0.0000 Dy
0.0000 0.5000 0.5000 Dy
0.5000 0.3527 0.1764 Dy
0.0000 0.0000 0.5000 Dy
0.5000 0.8236 0.6473 Dy
0.0000 0.0000 0.0000 Tb
```

- total moment (μB per cell) = 0.00
- volume (Å³/atom) = 31.311
- electronic total energy (eV/atom) = -4.55
- distance to the lowest polymorph of the same formula (eV/atom) = 0.0283



# 2
Entry from the Alexandria database: a geometry-optimized Tb2Dy4Ho5 structure (PBE-GGA).

Structure (POSCAR):
```
Tb2Dy4Ho5
1.0
3.5901 -0.5428 -0.0368
-2.3707 8.8563 -3.6019
1.5943 -2.3925 12.2407
Dy Ho Tb
4 5 2
Direct
0.7534 0.4251 0.3428 Dy
0.2466 0.5749 0.6572 Dy
0.6755 0.6480 0.9449 Dy
0.3245 0.3520 0.0551 Dy
0.9223 0.0403 0.2367 Ho
0.4226 0.1733 0.5025 Ho
0.0777 0.9597 0.7633 Ho
0.5000 0.0000 0.0000 Ho
0.5774 0.8267 0.4975 Ho
0.1083 0.7225 0.2280 Tb
0.8917 0.2775 0.7720 Tb
```

- total moment (μB per cell) = 0.00
- volume (Å³/atom) = 31.448
- electronic total energy (eV/atom) = -4.53
- distance to the lowest polymorph of the same formula (eV/atom) = 0.0000



# 3
Entry from the Alexandria database: a geometry-optimized Tb9Dy2Ho3 structure (PBE-GGA).

Structure (POSCAR):
```
Tb9Dy2Ho3
1.0
4.6781 1.0351 2.1977
4.0062 10.7713 5.3757
2.5801 3.0771 12.0342
Tb Ho Dy
9 3 2
Direct
0.6312 0.3483 0.8974 Tb
0.0000 0.5000 0.5000 Tb
0.9112 0.8471 0.5452 Tb
0.6311 0.8974 0.3483 Tb
0.0887 0.4548 0.1529 Tb
0.0888 0.1529 0.4548 Tb
0.9113 0.5452 0.8471 Tb
0.3689 0.6517 0.1026 Tb
0.3689 0.1026 0.6517 Tb
0.0000 0.0000 0.0000 Ho
0.0141 0.8288 0.8288 Ho
0.9859 0.1712 0.1712 Ho
0.5000 0.7620 0.2380 Dy
0.5000 0.2380 0.7621 Dy
```

- total moment (μB per cell) = 0.00
- volume (Å³/atom) = 32.820
- electronic total energy (eV/atom) = -4.30



# 4
Entry from the Alexandria database: a geometry-optimized Tb16Dy6Ho7 structure (PBE-GGA).

Structure (POSCAR):
```
Tb16Dy6Ho7
1.0
-9.0247 6.4106 0.2597
-10.0687 -4.6027 -0.2153
-6.3802 0.2146 9.0474
Ho Tb Dy
7 16 6
Direct
0.0000 0.5000 0.5000 Ho
0.0000 0.0000 0.5000 Ho
0.5000 0.0000 0.5000 Ho
0.5000 0.5000 0.0000 Ho
0.5000 0.0000 0.0000 Ho
0.0000 0.0000 0.0000 Ho
0.0000 0.5000 0.0000 Ho
0.0458 0.6514 0.6514 Tb
0.1233 0.1233 0.6302 Tb
0.8767 0.8767 0.3698 Tb
0.8767 0.3698 0.8767 Tb
0.3486 0.9542 0.3486 Tb
0.1233 0.6302 0.1233 Tb
0.9542 0.3486 0.3486 Tb
0.6514 0.6514 0.0458 Tb
0.8767 0.8767 0.8767 Tb
0.6302 0.1233 0.1233 Tb
0.1233 0.1233 0.1233 Tb
0.3698 0.8767 0.8767 Tb
0.6514 0.0458 0.6514 Tb
0.6514 0.6514 0.6514 Tb
0.3486 0.3486 0.9542 Tb
0.3486 0.3486 0.3486 Tb
0.2764 0.7236 0.7236 Dy
0.7236 0.7236 0.2764 Dy
0.7236 0.2764 0.7236 Dy
0.7236 0.2764 0.2764 Dy
0.2764 0.7236 0.2764 Dy
0.2764 0.2764 0.7236 Dy
```

- total moment (μB per cell) = 0.00
- volume (Å³/atom) = 33.103
- electronic total energy (eV/atom) = -4.38



# 5
Entry from the Alexandria database: a geometry-optimized Tb4Dy4Ho structure (PBE-GGA).

Structure (POSCAR):
```
Tb4Dy4Ho
1.0
5.0001 0.0000 0.0000
2.5001 7.5148 0.0000
2.5001 0.0000 7.5148
Tb Ho Dy
4 1 4
Direct
0.3335 0.9999 0.3332 Tb
0.6666 0.6668 0.9999 Tb
0.6666 0.0001 0.6668 Tb
0.3334 0.3332 0.0001 Tb
0.0000 0.0000 0.0000 Ho
0.3334 0.6666 0.6666 Dy
0.0000 0.6666 0.3334 Dy
0.6666 0.3334 0.3334 Dy
0.0000 0.3334 0.6666 Dy
```

- total moment (μB per cell) = 0.00
- volume (Å³/atom) = 31.375
- electronic total energy (eV/atom) = -4.59



# 6
Entry from the Alexandria database: a geometry-optimized Tb2Dy12Ho structure (PBE-GGA).

Structure (POSCAR):
```
Tb2Dy12Ho
1.0
6.4290 -1.4854 0.3104
-1.4854 6.4290 0.3104
1.5120 1.5120 24.4942
Ho Dy Tb
2 24 4
Direct
0.4918 0.9918 0.0142 Ho
0.0082 0.5082 0.9858 Ho
0.3361 0.8361 0.1501 Dy
0.5823 0.6126 0.9274 Dy
0.3446 0.3348 0.5553 Dy
0.6629 0.1629 0.8779 Dy
0.0448 0.0842 0.2005 Dy
0.1773 0.6773 0.4234 Dy
0.4552 0.4158 0.7995 Dy
0.5160 0.5246 0.6702 Dy
0.9158 0.9552 0.7995 Dy
0.8371 0.3371 0.1221 Dy
0.4754 0.4840 0.3298 Dy
0.5842 0.5448 0.2005 Dy
0.9840 0.9754 0.3298 Dy
0.8348 0.8446 0.5553 Dy
0.6652 0.6554 0.4447 Dy
0.1126 0.0823 0.9274 Dy
0.0246 0.0160 0.6702 Dy
0.3227 0.8227 0.5766 Dy
0.8345 0.3345 0.5717 Dy
0.6655 0.1655 0.4283 Dy
0.3874 0.4177 0.0726 Dy
0.1554 0.1652 0.4447 Dy
0.9177 0.8874 0.0726 Dy
0.1639 0.6639 0.8499 Dy
0.9821 0.4821 0.7247 Tb
0.0076 0.5076 0.2763 Tb
0.4924 0.9924 0.7237 Tb
0.5179 0.0179 0.2753 Tb
```

- total moment (μB per cell) = 0.00
- volume (Å³/atom) = 31.698
- electronic total energy (eV/atom) = -4.49



# 7
Entry from the Alexandria database: a geometry-optimized Tb5Dy2Ho3 structure (PBE-GGA).

Structure (POSCAR):
```
Tb5Dy2Ho3
1.0
-4.2474 -4.4547 2.7259
6.5967 -10.1400 2.0199
5.8952 -4.8260 9.6110
Tb Dy Ho
10 4 6
Direct
0.1253 0.4685 0.2809 Tb
0.5006 0.2494 0.2494 Tb
0.3747 0.7191 0.5315 Tb
0.7500 0.5000 0.5000 Tb
0.8747 0.5315 0.7191 Tb
0.4994 0.7506 0.7506 Tb
0.0006 0.2494 0.2494 Tb
0.6253 0.2809 0.4685 Tb
0.2500 0.5000 0.5000 Tb
0.9994 0.7506 0.7506 Tb
0.6243 0.9687 0.7827 Dy
0.8757 0.2173 0.0313 Dy
0.1243 0.7827 0.9687 Dy
0.3757 0.0313 0.2173 Dy
0.2500 0.0000 0.0000 Ho
0.3764 0.3729 0.8744 Ho
0.1236 0.1256 0.6271 Ho
0.8764 0.8744 0.3729 Ho
0.6236 0.6271 0.1256 Ho
0.7500 0.0000 0.0000 Ho
```

- total moment (μB per cell) = 0.00
- volume (Å³/atom) = 33.904
- electronic total energy (eV/atom) = -4.20
- distance to the lowest polymorph of the same formula (eV/atom) = 0.2061



# 8
Entry from the Alexandria database: a geometry-optimized Tb5DyHo2 structure (PBE-GGA).

Structure (POSCAR):
```
Tb5DyHo2
1.0
7.9431 3.6918 0.0019
3.7306 7.5752 0.0026
0.0046 -0.0015 11.1718
Tb Dy Ho
10 2 4
Direct
0.8012 0.3198 0.5787 Tb
0.3347 0.9563 0.4242 Tb
0.2346 0.6871 0.7499 Tb
0.3338 0.9569 0.0762 Tb
0.7654 0.3129 0.2501 Tb
0.6653 0.0437 0.5758 Tb
0.1984 0.6804 0.0788 Tb
0.6662 0.0431 0.9238 Tb
0.8016 0.3196 0.9212 Tb
0.1988 0.6802 0.4213 Tb
0.4982 0.1528 0.2498 Dy
0.5018 0.8472 0.7502 Dy
0.8878 0.5756 0.3828 Ho
0.1122 0.4244 0.6172 Ho
0.1134 0.4236 0.8831 Ho
0.8866 0.5764 0.1169 Ho
```

- total moment (μB per cell) = 0.00
- volume (Å³/atom) = 32.397
- electronic total energy (eV/atom) = -4.43
- distance to the lowest polymorph of the same formula (eV/atom) = 0.1642



# 9
Entry from the Alexandria database: a geometry-optimized Tb4Dy8Ho3 structure (PBE-GGA).

Structure (POSCAR):
```
Tb4Dy8Ho3
1.0
6.7033 -0.0994 -0.1428
-3.2149 8.5513 1.1508
-3.2149 -1.8894 8.4190
Dy Tb Ho
8 4 3
Direct
0.4813 0.7347 0.7347 Dy
0.5000 0.2529 0.7471 Dy
0.0000 0.3587 0.6413 Dy
0.5187 0.2653 0.2653 Dy
0.0000 0.6413 0.3587 Dy
0.5000 0.7471 0.2529 Dy
0.9997 0.7310 0.7310 Dy
0.0003 0.2690 0.2690 Dy
0.0000 0.5000 0.0000 Tb
0.0000 0.0000 0.5000 Tb
0.0000 0.0000 0.0000 Tb
0.5000 0.0000 0.0000 Tb
0.5000 0.5000 0.5000 Ho
0.5000 0.0000 0.5000 Ho
0.5000 0.5000 0.0000 Ho
```

- total moment (μB per cell) = 0.02
- volume (Å³/atom) = 32.670
- electronic total energy (eV/atom) = -4.21
- distance to the lowest polymorph of the same formula (eV/atom) = 0.2560



# 10
Entry from the Alexandria database: a geometry-optimized Tb10Dy4Ho structure (PBE-GGA).

Structure (POSCAR):
```
Tb10Dy4Ho
1.0
-7.4666 -1.6440 0.5718
-1.8026 -8.9915 2.0089
-3.4935 1.0000 8.6561
Dy Tb Ho
4 10 1
Direct
0.6004 0.1991 0.6001 Dy
0.2005 0.3999 0.1991 Dy
0.7995 0.6001 0.8009 Dy
0.3996 0.8009 0.3999 Dy
0.2500 0.5000 0.5000 Tb
0.4499 0.8993 0.7004 Tb
0.8497 0.7004 0.1007 Tb
0.1503 0.2996 0.8993 Tb
0.9505 0.8993 0.7004 Tb
0.5501 0.1007 0.2996 Tb
0.0495 0.1007 0.2996 Tb
0.7500 0.5000 0.5000 Tb
0.6509 0.2996 0.8993 Tb
0.3491 0.7004 0.1007 Tb
0.0000 0.0000 0.0000 Ho
```

- total moment (μB per cell) = 0.00
- volume (Å³/atom) = 37.535
- electronic total energy (eV/atom) = -3.89



# 11
Entry from the Alexandria database: a geometry-optimized TbDy4Ho5 structure (PBE-GGA).

Structure (POSCAR):
```
TbDy4Ho5
1.0
3.3577 -0.5357 -0.9550
-1.2304 6.5288 -1.0568
1.0633 1.1649 14.1598
Ho Dy Tb
5 4 1
Direct
0.9449 0.5761 0.3856 Ho
0.7627 0.8790 0.5840 Ho
0.5000 0.5000 0.0000 Ho
0.0551 0.4239 0.6144 Ho
0.2373 0.1210 0.4160 Ho
0.1440 0.2784 0.1938 Dy
0.3962 0.8140 0.2143 Dy
0.6038 0.1860 0.7857 Dy
0.8560 0.7216 0.8062 Dy
0.5000 0.0000 0.0000 Tb
```

- total moment (μB per cell) = 0.00
- volume (Å³/atom) = 31.381
- electronic total energy (eV/atom) = -4.53
- distance to the lowest polymorph of the same formula (eV/atom) = 0.0547



# 12
Entry from the Alexandria database: a geometry-optimized Tb2Dy2Ho3 structure (PBE-GGA).

Structure (POSCAR):
```
Tb2Dy2Ho3
1.0
3.4431 -0.5305 0.5512
-0.2932 11.5947 1.6809
1.0727 1.3143 5.8743
Dy Ho Tb
2 3 2
Direct
0.7152 0.2863 0.8564 Dy
0.2848 0.7137 0.1436 Dy
0.0000 0.0000 0.0000 Ho
0.5715 0.4287 0.2855 Ho
0.4285 0.5713 0.7145 Ho
0.8577 0.1434 0.4281 Tb
0.1423 0.8566 0.5719 Tb
```

- total moment (μB per cell) = 0.00
- volume (Å³/atom) = 31.138
- electronic total energy (eV/atom) = -4.58
- distance to the lowest polymorph of the same formula (eV/atom) = 0.0000



# 13
Entry from the Alexandria database: a geometry-optimized Tb3Dy3Ho8 structure (PBE-GGA).

Structure (POSCAR):
```
Tb3Dy3Ho8
1.0
-1.8254 4.8607 2.0386
-2.4361 -1.5361 9.1128
7.6373 5.6636 0.9663
Ho Dy Tb
8 3 3
Direct
0.8416 0.5548 0.7623 Ho
0.6588 0.5629 0.1191 Ho
0.1584 0.2377 0.4452 Ho
0.3412 0.8809 0.4371 Ho
0.1584 0.4452 0.2377 Ho
0.6588 0.1191 0.5629 Ho
0.8416 0.7623 0.5548 Ho
0.3412 0.4371 0.8809 Ho
0.5000 0.5000 0.5000 Dy
0.7970 0.2030 0.2030 Dy
0.2030 0.7970 0.7970 Dy
0.0000 0.1816 0.8184 Tb
0.5000 0.0000 0.0000 Tb
0.0000 0.8184 0.1816 Tb
```

- total moment (μB per cell) = 0.00
- volume (Å³/atom) = 31.603
- electronic total energy (eV/atom) = -4.48



# 14
Entry from the Alexandria database: a geometry-optimized Tb2Dy3Ho2 structure (PBE-GGA).

Structure (POSCAR):
```
Tb2Dy3Ho2
1.0
3.4470 -0.5257 0.5467
-0.3112 11.6019 1.6937
1.0786 1.3133 5.8790
Tb Dy Ho
2 3 2
Direct
0.1422 0.8568 0.5720 Tb
0.8578 0.1432 0.4280 Tb
0.4283 0.5712 0.7145 Dy
0.0000 0.0000 0.0000 Dy
0.5717 0.4288 0.2855 Dy
0.7153 0.2862 0.8564 Ho
0.2847 0.7138 0.1436 Ho
```

- total moment (μB per cell) = 0.00
- volume (Å³/atom) = 31.208
- electronic total energy (eV/atom) = -4.59
- distance to the lowest polymorph of the same formula (eV/atom) = 0.0000



# 15
Entry from the Alexandria database: a geometry-optimized Tb2Dy7Ho3 structure (PBE-GGA).

Structure (POSCAR):
```
Tb2Dy7Ho3
1.0
-2.8198 1.4805 -1.4366
-3.0170 -0.4070 5.5023
3.7865 15.2478 8.2812
Dy Tb Ho
7 2 3
Direct
0.5000 0.2427 0.5018 Dy
0.5000 0.9419 0.8321 Dy
0.0000 0.0000 0.0000 Dy
0.5000 0.7573 0.4982 Dy
0.0000 0.4393 0.8346 Dy
0.5000 0.0581 0.1679 Dy
0.0000 0.5607 0.1654 Dy
0.5000 0.3869 0.6726 Tb
0.5000 0.6131 0.3274 Tb
0.0000 0.1092 0.3419 Ho
0.5000 0.5000 0.0000 Ho
0.0000 0.8908 0.6581 Ho
```

- total moment (μB per cell) = 0.00
- volume (Å³/atom) = 31.482
- electronic total energy (eV/atom) = -4.52
- distance to the lowest polymorph of the same formula (eV/atom) = 0.0000



# 16
Entry from the Alexandria database: a geometry-optimized Tb2DyHo6 structure (PBE-GGA).

Structure (POSCAR):
```
Tb2DyHo6
1.0
-2.2691 1.7895 1.8805
-3.1980 -4.5468 0.4692
14.1413 1.2986 9.4769
Tb Ho Dy
2 6 1
Direct
0.8333 0.4995 0.8333 Tb
0.1667 0.5005 0.1667 Tb
0.7777 0.1678 0.2782 Ho
0.8894 0.8341 0.3891 Ho
0.5558 0.8336 0.0557 Ho
0.2223 0.8322 0.7218 Ho
0.1106 0.1659 0.6109 Ho
0.4442 0.1664 0.9443 Ho
0.5000 0.5000 0.5000 Dy
```

- total moment (μB per cell) = 0.00
- volume (Å³/atom) = 30.929
- electronic total energy (eV/atom) = -4.52
- distance to the lowest polymorph of the same formula (eV/atom) = 0.0519



# 17
Entry from the Alexandria database: a geometry-optimized TbDy4Ho structure (PBE-GGA).

Structure (POSCAR):
```
TbDy4Ho
1.0
6.5321 0.0000 0.0000
3.2661 5.6570 0.0000
3.2661 1.8857 5.3335
Ho Tb Dy
1 1 4
Direct
0.0000 0.0000 0.0000 Ho
0.2500 0.2500 0.2500 Tb
0.1248 0.6251 0.6251 Dy
0.6251 0.1248 0.6251 Dy
0.6251 0.6251 0.6251 Dy
0.6251 0.6251 0.1248 Dy
```

- total moment (μB per cell) = 0.46
- volume (Å³/atom) = 32.847
- electronic total energy (eV/atom) = -4.33
- distance to the lowest polymorph of the same formula (eV/atom) = 0.2504



# 18
Entry from the Alexandria database: a geometry-optimized Tb3Dy8Ho4 structure (PBE-GGA).

Structure (POSCAR):
```
Tb3Dy8Ho4
1.0
-4.3208 4.9966 -1.9618
-4.6556 2.4690 4.4401
4.6852 10.5321 4.4033
Ho Tb Dy
4 3 8
Direct
0.3363 0.3363 0.9912 Ho
0.5000 0.5000 0.5000 Ho
0.6637 0.6637 0.0088 Ho
0.0000 0.0000 0.0000 Ho
0.0000 0.5000 0.5000 Tb
0.5000 0.0000 0.5000 Tb
0.0000 0.0000 0.5000 Tb
0.7506 0.7506 0.2503 Dy
0.2485 0.7506 0.2503 Dy
0.2494 0.2494 0.7497 Dy
0.7515 0.2494 0.7497 Dy
0.2494 0.7515 0.7497 Dy
0.2455 0.2455 0.2635 Dy
0.7506 0.2485 0.2503 Dy
0.7545 0.7545 0.7365 Dy
```

- total moment (μB per cell) = 0.01
- volume (Å³/atom) = 32.023
- electronic total energy (eV/atom) = -4.45
- distance to the lowest polymorph of the same formula (eV/atom) = 0.0000